1.
{
  "formula": "Nb3Fe8Ir",
  "functional": "GGA-PBE",
  "state": "optimized geometry",
  "vol_a3_per_atom": 12.78,
  "formation_energy_kj_per_mol_fu": -197,
  "spacegroup": "R3m",
  "magnetic_moment_mub_per_cell": 11.9,
  "lattice_angstrom": [[2.3868, 1.3780, 7.7739], [-2.3868, 1.3780, 7.7739], [0.0000, -2.7560, 7.7739]],
  "species": ["Fe", "Fe", "Nb", "Nb", "Fe", "Nb", "Fe", "Fe", "Ir", "Fe", "Fe", "Fe"],
  "frac_coords": [[0.5628, 0.5628, 0.0598], [0.5639, 0.0620, 0.0620], [0.6234, 0.6234, 0.6234], [0.4956, 0.4956, 0.4956], [0.0598, 0.5628, 0.5628], [0.0058, 0.0058, 0.0058], [0.3120, 0.3120, 0.3120], [0.5628, 0.0598, 0.5628], [0.1276, 0.1276, 0.1276], [0.0620, 0.5639, 0.0620], [0.8124, 0.8124, 0.8124], [0.0620, 0.0620, 0.5639]]
}

---

2.
{
  "formula": "AlTc4F2",
  "functional": "GGA-PBE",
  "state": "optimized geometry",
  "vol_a3_per_atom": 14.21,
  "dft_energy_ev_per_cell": -49.54,
  "spacegroup": "Cmmm",
  "magnetic_moment_mub_per_cell": 0.0,
  "lattice_angstrom": [[-2.1228, 5.7830, 0.2791], [0.3890, -1.3766, -5.9984], [-2.5524, -0.9402, 0.0511]],
  "species": ["Tc", "Tc", "F", "Tc", "F", "Tc", "Al"],
  "frac_coords": [[0.3217, 0.3217, 0.4990], [0.6783, 0.6783, 0.5010], [0.5000, 0.0000, 0.5000], [0.6764, 0.3236, 0.0000], [0.0000, 0.5000, 0.5000], [0.3236, 0.6764, 0.0000], [0.0000, 0.0000, 0.0000]]
}

---

3.
{
  "formula": "AcDyAsO",
  "functional": "GGA-PBE",
  "state": "optimized geometry",
  "vol_a3_per_atom": 24.34,
  "spacegroup": "P4/nmm",
  "e_above_lowest_polymorph_mev_per_atom": 17,
  "magnetic_moment_mub_per_cell": 0.2,
  "lattice_angstrom": [[4.5438, 0.0000, 0.0000], [0.0000, 4.5438, 0.0000], [0.0000, 0.0000, 9.4326]],
  "species": ["Ac", "As", "O", "Dy", "As", "Ac", "Dy", "O"],
  "frac_coords": [[0.7500, 0.7500, 0.8824], [0.7500, 0.7500, 0.3160], [0.2500, 0.7500, 0.0000], [0.2500, 0.7500, 0.5000], [0.2500, 0.2500, 0.6840], [0.2500, 0.2500, 0.1176], [0.7500, 0.2500, 0.5000], [0.7500, 0.2500, 0.0000]]
}